# FeB2PdN PBE-GGA optimized geometry
# Space group: P4/mmm, No. 123
# Fermi-level density of states (states/eV/cell): 9.5
# E_form (uncorrected) (kJ per mole of atoms): 218.6
# Total magnetization (μB/cell): 1.2
data_FeB2PdN
_chemical_formula_sum 'Fe1 B2 Pd1 N1'
_cell_length_a 3.855
_cell_length_b 3.855
_cell_length_c 5.074
_cell_angle_alpha 90.00
_cell_angle_beta 90.00
_cell_angle_gamma 90.00
_symmetry_space_group_name_H-M 'P 1'
_symmetry_Int_Tables_number 1
loop_
_symmetry_equiv_pos_as_xyz
'x,y,z'
loop_
_atom_site_label
_atom_site_fract_x
_atom_site_fract_y
_atom_site_fract_z
_atom_site_occupancy
Fe1 0.000 0.000 0.000 1
B1 0.000 0.500 0.500 1
B2 0.500 0.000 0.500 1
Pd1 0.000 0.000 0.500 1
N1 0.500 0.500 0.000 1